Record 1
VASP calculation (PBE) on an optimized crystal structure of CdCo2AsS.

Cell: 4.378 4.378 5.112 Å, 90.00 90.00 90.00°
Sites, in units of the cell vectors:
Cd  0.000  0.000  0.000
Co  0.000  0.500  0.500
Co  0.500  0.000  0.500
As  0.500  0.500  0.500
S  0.500  0.500  0.000

Values from the calculation:
ΔE_f (raw) ... 0.644 eV per atom
Density of states at the Fermi level ... 0.60 states/eV/atom
Symmetry ... P4/mmm
VASP energy ... -4.14 eV per atom

=====

Record 2
VASP calculation (PBE) on an optimized crystal structure of CdCoAsSe2.

Cell: 4.981 4.981 4.305 Å, 90.00 90.00 90.00°
Sites, in units of the cell vectors:
Cd  0.000  0.000  0.000
Co  0.500  0.500  0.500
As  0.500  0.500  0.000
Se  0.000  0.500  0.500
Se  0.500  0.000  0.500

Values from the calculation:
Energy relative to the lowest polymorph listed for this composition ... 0.0000 eV per atom
ΔE_f (raw) ... 0.235 eV per atom
Density of states at the Fermi level ... 0.84 states/eV/atom
Symmetry ... P4/mmm
VASP energy ... -3.69 eV per atom

=====

Record 3
VASP calculation (PBE) on an optimized crystal structure of CdCoAsSe2.

Cell: 5.230 5.230 5.053 Å, 90.00 90.00 90.00°
Sites, in units of the cell vectors:
Cd  0.000  0.000  0.000
Co  0.500  0.500  0.500
As  0.000  0.000  0.500
Se  0.000  0.500  0.000
Se  0.500  0.000  0.000

Values from the calculation:
Energy relative to the lowest polymorph listed for this composition ... 0.9949 eV per atom
ΔE_f (raw) ... 1.230 eV per atom
Density of states at the Fermi level ... 1.45 states/eV/atom
Symmetry ... P4/mmm
VASP energy ... -2.70 eV per atom

=====

Record 4
VASP calculation (PBE) on an optimized crystal structure of CdCoAs2Se.

Cell: 4.446 4.446 5.385 Å, 90.00 90.00 90.00°
Sites, in units of the cell vectors:
Cd  0.000  0.000  0.000
Co  0.500  0.500  0.500
As  0.000  0.500  0.500
As  0.500  0.000  0.500
Se  0.500  0.500  0.000

Values from the calculation:
Energy relative to the lowest polymorph listed for this composition ... 0.0000 eV per atom
ΔE_f (raw) ... 0.255 eV per atom
Density of states at the Fermi level ... 0.67 states/eV/atom
Symmetry ... P4/mmm
VASP energy ... -3.91 eV per atom

=====

Record 5
VASP calculation (PBE) on an optimized crystal structure of TaCdCoAs2.

Cell: 4.907 4.907 4.522 Å, 90.00 90.00 90.00°
Sites, in units of the cell vectors:
Ta  0.000  0.000  0.000
Cd  0.500  0.500  0.500
Co  0.500  0.500  0.000
As  0.000  0.500  0.500
As  0.500  0.000  0.500

Values from the calculation:
Density of states at the Fermi level ... 0.96 states/eV/atom
Symmetry ... P4/mmm
VASP energy ... -4.17 eV per atom

=====

Record 6
VASP calculation (PBE) on an optimized crystal structure of TlCd2CoAs.

Cell: 5.146 5.146 4.358 Å, 90.00 90.00 90.00°
Sites, in units of the cell vectors:
Tl  0.000  0.000  0.000
Cd  0.000  0.500  0.500
Cd  0.500  0.000  0.500
Co  0.500  0.500  0.500
As  0.500  0.500  0.000

Values from the calculation:
Density of states at the Fermi level ... 0.54 states/eV/atom
Symmetry ... P4/mmm
VASP energy ... -3.12 eV per atom

=====

Record 7
VASP calculation (PBE) on an optimized crystal structure of CrCdAs.

Cell: 3.551 3.551 5.665 Å, 90.00 90.00 120.00°
Sites, in units of the cell vectors:
Cr  0.000  0.000  0.000
Cd  0.333  0.667  0.618
As  0.667  0.333  0.233

Values from the calculation:
Energy relative to the lowest polymorph listed for this composition ... 0.2095 eV per atom
Density of states at the Fermi level ... 0.25 states/eV/atom
Symmetry ... P3m1
VASP energy ... -4.84 eV per atom

=====

Record 8
VASP calculation (PBE) on an optimized crystal structure of Cr2CdAs.

Cell: 3.075 3.164 6.459 Å, 90.00 94.15 90.00°
Sites, in units of the cell vectors:
Cr  0.040  0.000  0.292
Cr  0.960  0.000  0.708
Cd  0.500  0.500  0.000
As  0.500  0.500  0.500

Values from the calculation:
Energy relative to the lowest polymorph listed for this composition ... 0.1296 eV per atom
Density of states at the Fermi level ... 0.61 states/eV/atom
Symmetry ... P2/m
VASP energy ... -5.90 eV per atom

=====

Record 9
VASP calculation (PBE) on an optimized crystal structure of Cr2Cd2As.

Cell: 6.060 6.060 4.632 Å, 90.00 90.00 90.00°
Sites, in units of the cell vectors:
Cr  0.125  0.375  0.000
Cr  0.375  0.875  0.000
Cr  0.625  0.125  0.000
Cr  0.875  0.625  0.000
Cd  0.171  0.671  0.500
Cd  0.329  0.171  0.500
Cd  0.671  0.829  0.500
Cd  0.829  0.329  0.500
As  0.000  0.000  0.000
As  0.500  0.500  0.000

Values from the calculation:
Energy relative to the lowest polymorph listed for this composition ... 0.0000 eV per atom
Density of states at the Fermi level ... 0.46 states/eV/atom
Symmetry ... P4/mbm
VASP energy ... -4.94 eV per atom

=====

Record 10
VASP calculation (PBE) on an optimized crystal structure of CrCdAs.

Cell: 4.207 4.207 6.240 Å, 90.00 90.00 90.00°
Sites, in units of the cell vectors:
Cr  0.250  0.750  0.000
Cr  0.750  0.250  0.000
Cd  0.250  0.250  0.332
Cd  0.750  0.750  0.668
As  0.250  0.250  0.772
As  0.750  0.750  0.228

Values from the calculation:
Energy relative to the lowest polymorph listed for this composition ... 0.0000 eV per atom
Density of states at the Fermi level ... 0.58 states/eV/atom
Symmetry ... P4/nmm
VASP energy ... -5.05 eV per atom

=====

Record 11
VASP calculation (PBE) on an optimized crystal structure of Cr4CdAs.

Cell: 4.909 4.909 4.909 Å, 60.00 60.00 60.00°
Sites, in units of the cell vectors:
Cr  0.377  0.377  0.377
Cr  0.377  0.377  0.869
Cr  0.377  0.869  0.377
Cr  0.869  0.377  0.377
Cd  0.750  0.750  0.750
As  0.000  0.000  0.000

Values from the calculation:
Density of states at the Fermi level ... 0.95 states/eV/atom
Symmetry ... F-43m
VASP energy ... -6.81 eV per atom

=====

Record 12
VASP calculation (PBE) on an optimized crystal structure of CrCdAs4.

Cell: 5.606 5.606 5.606 Å, 60.00 60.00 60.00°
Sites, in units of the cell vectors:
Cr  0.000  0.000  0.000
Cd  0.250  0.250  0.250
As  0.124  0.625  0.625
As  0.625  0.124  0.625
As  0.625  0.625  0.124
As  0.625  0.625  0.625

Values from the calculation:
Density of states at the Fermi level ... 0.42 states/eV/atom
Symmetry ... F-43m
VASP energy ... -4.37 eV per atom

=====

Look up the density of states at the Fermi level of the eighth one.
0.61 states/eV/atom

=====

Please write out number 7 again, unchanged.
VASP calculation (PBE) on an optimized crystal structure of CrCdAs.

Cell: 3.551 3.551 5.665 Å, 90.00 90.00 120.00°
Sites, in units of the cell vectors:
Cr  0.000  0.000  0.000
Cd  0.333  0.667  0.618
As  0.667  0.333  0.233

Values from the calculation:
Energy relative to the lowest polymorph listed for this composition ... 0.2095 eV per atom
Density of states at the Fermi level ... 0.25 states/eV/atom
Symmetry ... P3m1
VASP energy ... -4.84 eV per atom

=====

density of states at the Fermi level of number 3 (CdCoAsSe2)?
1.45 states/eV/atom

=====

Number 3 is which compound?
CdCoAsSe2